Record 1
Density functional theory data (PBE) for a relaxed structure of Pr2CdRh2.

a = 7.721 Å, b = 7.721 Å, c = 3.909 Å
α = 90.00°, β = 90.00°, γ = 90.00°
Space group P4/mbm (No. 127)
Inequivalent atoms, fractional coordinates:
Pr  0.167  0.333  0.000 (multiplicity 4)
Cd  0.000  0.000  0.500 (multiplicity 2)
Rh  0.134  0.634  0.500 (multiplicity 4)

Summary:
formation energy	-280	kJ/mol of formula units
final energy	-5.62	eV per atom



Record 2
Density functional theory data (PBE) for a relaxed structure of Pr2Cd3Rh2.

a = 10.265 Å, b = 4.281 Å, c = 7.446 Å
α = 90.00°, β = 97.67°, γ = 90.00°
Space group C2/m (No. 12)
Inequivalent atoms, fractional coordinates:
Pr  0.125  0.000  0.356 (multiplicity 4)
Cd  0.000  0.500  0.000 (multiplicity 2)
Cd  0.190  0.000  0.871 (multiplicity 4)
Rh  0.089  0.500  0.650 (multiplicity 4)

Summary:
formation energy	-303	kJ/mol of formula units
final energy	-4.31	eV per atom



Record 3
Density functional theory data (PBE) for a relaxed structure of Pr5CdRh2.

a = 8.107 Å, b = 8.107 Å, c = 13.900 Å
α = 90.00°, β = 90.00°, γ = 90.00°
Space group I4/mcm (No. 140)
Inequivalent atoms, fractional coordinates:
Pr  0.000  0.000  0.000 (multiplicity 4)
Pr  0.162  0.338  0.134 (multiplicity 16)
Cd  0.000  0.000  0.250 (multiplicity 4)
Rh  0.135  0.365  0.500 (multiplicity 8)

Summary:
formation energy	-348	kJ/mol of formula units
final energy	-5.39	eV per atom
offset from the most stable computed form	0	meV/atom



Record 4
Density functional theory data (PBE) for a relaxed structure of Pr6CdRh.

a = 7.040 Å, b = 7.083 Å, c = 7.801 Å
α = 90.37°, β = 116.38°, γ = 119.72°
Space group P-1 (No. 2)
Inequivalent atoms, fractional coordinates:
Pr  0.039  0.079  0.250 (multiplicity 2)
Pr  0.289  0.710  0.248 (multiplicity 2)
Pr  0.326  0.538  0.752 (multiplicity 2)
Cd  0.500  0.000  0.000 (multiplicity 1)
Rh  0.500  0.500  0.500 (multiplicity 1)

Summary:
formation energy	-28	kJ/mol of formula units
final energy	-4.65	eV per atom



Record 5
Density functional theory data (PBE) for a relaxed structure of PrCd4Rh2.

a = 8.601 Å, b = 8.601 Å, c = 4.076 Å
α = 90.00°, β = 90.00°, γ = 90.00°
Space group P4_2/mnm (No. 136)
Inequivalent atoms, fractional coordinates:
Pr  0.000  0.000  0.000 (multiplicity 2)
Cd  0.100  0.341  0.500 (multiplicity 8)
Rh  0.178  0.822  0.500 (multiplicity 4)

Summary:
formation energy	-199	kJ/mol of formula units
final energy	-3.60	eV per atom
offset from the most stable computed form	0	meV/atom



Record 6
Density functional theory data (PBE) for a relaxed structure of Pr3CdRh.

a = 5.538 Å, b = 5.538 Å, c = 5.538 Å
α = 90.00°, β = 90.00°, γ = 90.00°
Space group Pm-3m (No. 221)
Inequivalent atoms, fractional coordinates:
Pr  0.000  0.000  0.500 (multiplicity 3)
Cd  0.500  0.500  0.500 (multiplicity 1)
Rh  0.000  0.000  0.000 (multiplicity 1)

Summary:
formation energy	-100	kJ/mol of formula units
final energy	-4.73	eV per atom
offset from the most stable computed form	161	meV/atom



Record 7
Density functional theory data (PBE) for a relaxed structure of Pr4CdRh2.

a = 7.153 Å, b = 7.172 Å, c = 8.923 Å
α = 107.58°, β = 107.50°, γ = 104.39°
Space group P1 (No. 1)
Inequivalent atoms, fractional coordinates:
Pr  0.000  0.000  0.000 (multiplicity 1)
Pr  0.040  0.717  0.585 (multiplicity 1)
Pr  0.100  0.277  0.707 (multiplicity 1)
Pr  0.257  0.598  0.173 (multiplicity 1)
Pr  0.509  0.546  0.574 (multiplicity 1)
Pr  0.582  0.119  0.720 (multiplicity 1)
Pr  0.646  0.147  0.293 (multiplicity 1)
Pr  0.731  0.572  0.120 (multiplicity 1)
Cd  0.172  0.034  0.381 (multiplicity 1)
Cd  0.436  0.799  0.912 (multiplicity 1)
Rh  0.047  0.370  0.322 (multiplicity 1)
Rh  0.371  0.195  0.971 (multiplicity 1)
Rh  0.709  0.852  0.457 (multiplicity 1)
Rh  0.900  0.542  0.836 (multiplicity 1)

Summary:
formation energy	-311	kJ/mol of formula units
final energy	-5.42	eV per atom



Record 8
Density functional theory data (PBE) for a relaxed structure of Pr4Cd5Rh2.

a = 7.832 Å, b = 3.813 Å, c = 9.763 Å
α = 90.00°, β = 94.28°, γ = 90.00°
Space group P2/m (No. 10)
Inequivalent atoms, fractional coordinates:
Pr  0.171  0.000  0.351 (multiplicity 2)
Pr  0.222  0.000  0.946 (multiplicity 2)
Cd  0.186  0.500  0.653 (multiplicity 2)
Cd  0.452  0.500  0.181 (multiplicity 2)
Cd  0.500  0.500  0.500 (multiplicity 1)
Rh  0.073  0.500  0.143 (multiplicity 2)

Summary:
formation energy	-476	kJ/mol of formula units
final energy	-3.94	eV per atom



Record 9
Density functional theory data (PBE) for a relaxed structure of Pr2CdRh.

a = 7.442 Å, b = 7.442 Å, c = 7.442 Å
α = 90.00°, β = 90.00°, γ = 90.00°
Space group Fm-3m (No. 225)
Inequivalent atoms, fractional coordinates:
Pr  0.250  0.250  0.250 (multiplicity 8)
Cd  0.000  0.000  0.000 (multiplicity 4)
Rh  0.000  0.000  0.500 (multiplicity 4)

Summary:
formation energy	-152	kJ/mol of formula units
final energy	-4.85	eV per atom
offset from the most stable computed form	69	meV/atom



Record 10
Density functional theory data (PBE) for a relaxed structure of PrCdRh.

a = 3.490 Å, b = 3.490 Å, c = 11.292 Å
α = 90.00°, β = 90.00°, γ = 90.00°
Space group I4mm (No. 107)
Inequivalent atoms, fractional coordinates:
Pr  0.000  0.000  0.000 (multiplicity 2)
Cd  0.000  0.000  0.714 (multiplicity 2)
Rh  0.000  0.000  0.350 (multiplicity 2)

Summary:
formation energy	-105	kJ/mol of formula units
final energy	-4.71	eV per atom



Record 11
Density functional theory data (PBE) for a relaxed structure of PrCd2Rh2.

a = 5.343 Å, b = 9.574 Å, c = 17.580 Å
α = 90.00°, β = 90.00°, γ = 90.00°
Space group Fddd (No. 70, origin choice 2)
Inequivalent atoms, fractional coordinates:
Pr  0.125  0.125  0.125 (multiplicity 8)
Cd  0.125  0.125  0.511 (multiplicity 16)
Rh  0.125  0.330  0.625 (multiplicity 16)

Summary:
formation energy	-69	kJ/mol of formula units
final energy	-4.41	eV per atom